Record 1
Compound: Ni2S3O12
Source: the Alexandria database
Functional: GGA-PBEsol
Structure: relaxed

Summary:
- calculated total energy (eV/atom) = -6.28
- energy relative to the lowest polymorph listed for this composition (eV per atom) = 0.022
- total magnetic moment (μB/f.u.) = 2.0

a = 8.0272 Å, b = 8.3727 Å, c = 13.8587 Å
α = 90.00°, β = 124.67°, γ = 90.00°
Closest atoms and distances in Å follow each position.
Space group P2_1/c (No. 14)
One atom of each set of equivalent atoms:
Ni 0.1282 0.0308 0.3813  6 O 1.96-1.98
Ni 0.3626 0.0370 0.1089  6 O 1.87-1.96
S 0.0359 0.6143 0.6422  4 O 1.46-1.51
S 0.2647 0.1176 0.6557  4 O 1.46-1.51
S 0.4498 0.7472 0.4901  4 O 1.46-1.51
O 0.0420 0.7235 0.1844  1 S 1.47
O 0.1164 0.0033 0.2367  1 S 1.46
O 0.1368 0.0796 0.6973  1 S 1.47
O 0.1584 0.6117 0.5919  1 S 1.49
O 0.1700 0.0729 0.5336  1 S 1.46
O 0.1832 0.0724 0.9475  1 S 1.51
O 0.2465 0.6851 0.9355  1 S 1.47
O 0.2882 0.2036 0.1702  1 S 1.51
O 0.3921 0.1327 0.4458  1 S 1.46
O 0.4448 0.6752 0.3883  1 S 1.51
O 0.4611 0.0277 0.7259  1 S 1.50
O 0.4924 0.6281 0.5814  1 S 1.49


Record 2
Compound: HfBe2Nb2
Source: the Alexandria database
Functional: GGA-PBEsol
Structure: relaxed

Summary:
- calculated total energy (eV/atom) = -8.09
- formation energy from the elements (eV/atom) = -0.06
- total magnetic moment (μB/f.u.) = 0.0

a = 6.6264 Å, b = 6.6264 Å, c = 3.3329 Å
α = 90.00°, β = 90.00°, γ = 90.00°
Closest atoms and distances in Å follow each position.
Space group P4/mbm (No. 127)
One atom of each set of equivalent atoms:
Hf 0.0000 0.0000 0.0000  4 Be 2.67, 8 Nb 2.96
Be 0.1128 0.3872 0.0000  1 Be 2.11
Nb 0.1765 0.6765 0.5000  6 Be 2.57-2.58


Record 3
Compound: CaCdCoS2
Source: the Alexandria database
Functional: GGA-PBEsol
Structure: relaxed

Summary:
- calculated total energy (eV/atom) = -3.10
- total magnetic moment (μB/f.u.) = 2.6

a = 4.8419 Å, b = 4.8419 Å, c = 5.6414 Å
α = 90.00°, β = 90.00°, γ = 90.00°
Closest atoms and distances in Å follow each position.
Space group P4/mmm (No. 123)
One atom of each set of equivalent atoms:
Ca 0.0000 0.0000 0.0000  2 Cd 2.82
Cd 0.0000 0.0000 0.5000  4 S 2.42
Co 0.5000 0.5000 0.0000  4 Ca 3.42, 8 S 3.72
S 0.0000 0.5000 0.5000  2 Cd 2.42


Record 4
Compound: InNi2Br
Source: the Alexandria database
Functional: GGA-PBEsol
Structure: relaxed

Summary:
- calculated total energy (eV/atom) = -3.94
- total magnetic moment (μB/f.u.) = 0.0

a = 3.6145 Å, b = 3.6145 Å, c = 9.7632 Å
α = 90.00°, β = 90.00°, γ = 90.00°
Closest atoms and distances in Å follow each position.
Space group I-4m2 (No. 119)
One atom of each set of equivalent atoms:
In 0.0000 0.0000 0.0000  4 Ni 2.56
Ni 0.0000 0.0000 0.5000  4 In 2.56
Ni 0.0000 0.5000 0.2500  4 Br 2.56
Br 0.0000 0.5000 0.7500  4 Ni 2.56


Record 5
Compound: SiTePS2
Source: the Alexandria database
Functional: GGA-PBEsol
Structure: relaxed

Summary:
- calculated total energy (eV/atom) = -4.49
- total magnetic moment (μB/f.u.) = 0.0

a = 4.4110 Å, b = 4.4110 Å, c = 4.7041 Å
α = 90.00°, β = 90.00°, γ = 90.00°
Closest atoms and distances in Å follow each position.
Space group P4/mmm (No. 123)
One atom of each set of equivalent atoms:
Si 0.0000 0.0000 0.0000  4 S 2.21, 2 P 2.35
Te 0.5000 0.5000 0.5000  4 P 3.12, 8 S 3.22
P 0.0000 0.0000 0.5000  2 Si 2.35
S 0.0000 0.5000 0.0000  2 Si 2.21


Record 6
Compound: Ba2IrW
Source: the Alexandria database
Functional: GGA-PBEsol
Structure: relaxed

Summary:
- calculated total energy (eV/atom) = -6.77
- formation energy from the elements (eV/atom) = 0.22
- energy relative to the lowest polymorph listed for this composition (eV per atom) = 0.000
- total magnetic moment (μB/f.u.) = 0.1

a = 4.2316 Å, b = 4.2316 Å, c = 27.5252 Å
α = 90.00°, β = 90.00°, γ = 120.00°
Closest atoms and distances in Å follow each position.
Space group R3m (No. 160, hexagonal axes)
One atom of each set of equivalent atoms:
Ba 0.0000 0.0000 0.0000  3 Ir 3.32, 3 W 3.54
Ba 0.0000 0.0000 0.1777  3 W 3.38, 3 Ir 3.60
Ir 0.0000 0.0000 0.7485  3 W 2.46
W 0.0000 0.0000 0.4263  3 Ir 2.46


Record 7
Compound: YInCu4
Source: the Alexandria database
Functional: GGA-PBEsol
Structure: relaxed

Summary:
- calculated total energy (eV/atom) = -4.82
- formation energy from the elements (eV/atom) = -0.30
- total magnetic moment (μB/f.u.) = 0.0

a = 7.1211 Å, b = 7.1211 Å, c = 7.1211 Å
α = 90.00°, β = 90.00°, γ = 90.00°
Closest atoms and distances in Å follow each position.
Space group F-43m (No. 216)
One atom of each set of equivalent atoms:
Y 0.0000 0.0000 0.0000  12 Cu 2.95, 4 In 3.08
In 0.2500 0.2500 0.7500  12 Cu 2.95, 4 Y 3.08
Cu 0.1246 0.1246 0.3754  6 Cu 2.51-2.52


Record 8
Compound: CsHg3Sb
Source: the Alexandria database
Functional: GGA-PBEsol
Structure: relaxed

Summary:
- calculated total energy (eV/atom) = -0.74
- total magnetic moment (μB/f.u.) = 2.0

a = 6.5367 Å, b = 6.5367 Å, c = 6.5367 Å
α = 90.00°, β = 90.00°, γ = 90.00°
Closest atoms and distances in Å follow each position.
Space group Pm-3m (No. 221)
One atom of each set of equivalent atoms:
Cs 0.0000 0.0000 0.0000  6 Hg 3.27
Hg 0.0000 0.0000 0.5000  2 Cs 3.27
Sb 0.5000 0.5000 0.5000  12 Hg 4.62